The following is a DFT calculation (PBE+U) of a geometry-optimized MgCrPt2O structure.

Output
As for the size of the total moment: 2.56 μB/cell. For the total energy, the calculation gives -5.295 eV/atom. The crystal system is tetragonal. The value obtained for the mass density is 9.1 g cm⁻³. As for the space-group type: No. 123.

POSCAR file:
```
MgCrPt2O
1.0
5.054 0.000 0.000
0.000 5.054 0.000
0.000 0.000 3.462
Mg Cr Pt O
1 1 2 1
Cartesian
0.000 0.000 0.000
2.527 2.527 1.731
0.000 2.527 1.731
2.527 0.000 1.731
2.527 2.527 0.000
```